TlCd2P: optimized geometry, GGA-PBE.

Cell lengths 3.4093, 3.4093, 8.2385 Å; angles 90.00, 90.00, 90.00 degrees
Last column: nearest neighbours and their distance in Å.
Positions (direct):
Tl: 0.0000 0.0000 0.0000  4 P 3.21, 4 Tl 3.41, 5 Cd 3.53-3.58
Cd: 0.0000 0.0000 0.5657  4 P 2.81
Cd: 0.5000 0.5000 0.3122  8 Cd 3.19-3.41, 4 Tl 3.53, 1 P 3.54
P: 0.5000 0.5000 0.7420  4 Cd 2.81

Formation energy from the elements   237 meV/atom

=====

TlCd2P: optimized geometry, GGA-PBE.

Cell lengths 5.1199, 5.1199, 5.1199 Å; angles 60.00, 60.00, 60.00 degrees
Last column: nearest neighbours and their distance in Å.
Positions (direct):
Tl: 0.0000 0.0000 0.0000  4 Cd 3.14, 4 P 3.14
Cd: 0.5000 0.5000 0.5000  4 Cd 3.14, 4 P 3.14
Cd: 0.7500 0.7500 0.7500  4 Cd 3.14, 4 Tl 3.14
P: 0.2500 0.2500 0.2500  4 Cd 3.14, 4 Tl 3.14

Formation energy from the elements   282 meV/atom

=====

> Which value of formation energy from the elements does entry 1 give?

237 meV/atom